A relaxed structure of BeAg2P. Source: Alexandria, functional PBE.

Calculated values
* formation energy: 1.41 eV per formula unit
* distance to the lowest polymorph of the same formula: 172 meV/atom
* E: -3.36 eV per atom
* density of states at the Fermi level: 0.9 states/eV/f.u.
* crystal system: tetragonal

```
BeAg2P
1.0
3.900 0.000 0.000
0.000 3.900 0.000
0.000 0.000 3.990
Be Ag P
1 2 1
Direct
0.000 0.000 0.000
0.000 0.500 0.500
0.500 0.000 0.500
0.500 0.500 0.000
```